Entry 1:
NaNdAl4 after structural relaxation, computed with PBE-GGA.

abc: 5.647 5.647 5.647
angles: 60.00 60.00 60.00
Fractional positions:
Na 0.000 0.000 0.000
Nd 0.750 0.750 0.750
Al 0.376 0.376 0.376
Al 0.376 0.376 0.873
Al 0.376 0.873 0.376
Al 0.873 0.376 0.376

Output
Formation enthalpy at 0 K = -0.22 eV/atom
Space group = F-43m, No. 216

***

Entry 2:
Bi2SbAsH after structural relaxation, computed with PBE-GGA.

abc: 5.886 5.886 3.563
angles: 90.00 90.00 90.00
Fractional positions:
Bi 0.000 0.500 0.000
Bi 0.500 0.000 0.000
Sb 0.000 0.000 0.500
As 0.500 0.500 0.000
H 0.500 0.500 0.500

Output
E = -3.764 eV per atom
Space group = P4/mmm, No. 123

***

Entry 3:
La2YUN5 after structural relaxation, computed with PBE-GGA.

abc: 4.114 4.114 9.052
angles: 90.00 90.00 90.00
Fractional positions:
La 0.000 0.000 0.232
La 0.000 0.000 0.768
Y 0.500 0.500 0.500
U 0.500 0.500 0.000
N 0.000 0.000 0.500
N 0.000 0.500 0.000
N 0.500 0.000 0.000
N 0.500 0.500 0.251
N 0.500 0.500 0.749

Output
E_form (uncorrected) = -1291 meV per atom
Space group = P4/mmm, No. 123

***

Entry 4:
Li2ZrBiO after structural relaxation, computed with PBE-GGA.

abc: 4.315 4.315 4.377
angles: 90.00 90.00 90.00
Fractional positions:
Li 0.000 0.500 0.000
Li 0.500 0.000 0.000
Zr 0.000 0.000 0.500
Bi 0.500 0.500 0.500
O 0.000 0.000 0.000

Output
E_form (uncorrected) = -1260 meV per atom
Space group = P4/mmm, No. 123

***

Entry 5:
Cs3Zn2Cl8 after structural relaxation, computed with PBE-GGA.

abc: 10.688 10.688 10.688
angles: 39.60 39.60 39.60
Fractional positions:
Cs 0.000 0.000 0.000
Cs 0.209 0.209 0.209
Cs 0.791 0.791 0.791
Zn 0.406 0.406 0.406
Zn 0.594 0.594 0.594
Cl 0.228 0.734 0.734
Cl 0.266 0.266 0.772
Cl 0.266 0.772 0.266
Cl 0.329 0.329 0.329
Cl 0.671 0.671 0.671
Cl 0.734 0.228 0.734
Cl 0.734 0.734 0.228
Cl 0.772 0.266 0.266

Output
E_form (uncorrected) = -1447 meV per atom
Space group = R-3m, No. 166

***

Entry 6:
YZnCr2 after structural relaxation, computed with PBE-GGA.

abc: 4.681 4.681 4.681
angles: 119.88 119.88 90.21
Fractional positions:
Y 0.000 0.000 0.000
Zn 0.750 0.250 0.500
Cr 0.250 0.750 0.500
Cr 0.500 0.500 0.000

Output
Formation enthalpy at 0 K = 0.20 eV/atom
Space group = I-4m2, No. 119

***

Entry 7:
LiSm2MgSe4 after structural relaxation, computed with PBE-GGA.

abc: 7.007 4.058 7.031
angles: 90.00 109.04 90.00
Fractional positions:
Li 0.000 0.000 0.000
Sm 0.000 0.500 0.500
Sm 0.500 0.000 0.500
Mg 0.500 0.500 0.000
Se 0.248 0.500 0.232
Se 0.257 0.000 0.772
Se 0.743 0.000 0.228
Se 0.752 0.500 0.768

Output
E_form (uncorrected) = -1572 meV per atom
Space group = P2/m, No. 10

***

Entry 8:
ZnHPdAu2 after structural relaxation, computed with PBE-GGA.

abc: 4.344 4.344 3.683
angles: 90.00 90.00 90.00
Fractional positions:
Zn 0.000 0.000 0.000
H 0.500 0.500 0.500
Pd 0.500 0.500 0.000
Au 0.000 0.500 0.500
Au 0.500 0.000 0.500

Output
Space group = P4/mmm, No. 123
Polymorph energy (0 for the lowest one) = 0.0 meV/atom

***

Entry 9:
Ac4P3Cl after structural relaxation, computed with PBE-GGA.

abc: 7.653 7.653 4.412
angles: 90.00 90.00 109.23
Fractional positions:
Ac 0.234 0.234 0.500
Ac 0.243 0.757 0.000
Ac 0.757 0.243 0.000
Ac 0.766 0.766 0.500
P 0.000 0.000 0.000
P 0.000 0.500 0.500
P 0.500 0.000 0.500
Cl 0.500 0.500 0.000

Output
E_form (uncorrected) = -1565 meV per atom
Space group = Cmmm, No. 65

***

Entry 10:
CeMg2Al after structural relaxation, computed with PBE-GGA.

abc: 4.476 4.476 4.811
angles: 90.00 90.00 90.00
Fractional positions:
Ce 0.000 0.000 0.000
Mg 0.000 0.500 0.500
Mg 0.500 0.000 0.500
Al 0.500 0.500 0.000

Output
Formation enthalpy at 0 K = -0.08 eV/atom
Space group = P4/mmm, No. 123

***

Entry 11:
CsTlZn2Ni after structural relaxation, computed with PBE-GGA.

abc: 5.031 5.031 5.141
angles: 90.00 90.00 90.00
Fractional positions:
Cs 0.000 0.000 0.000
Tl 0.500 0.500 0.000
Zn 0.000 0.500 0.500
Zn 0.500 0.000 0.500
Ni 0.500 0.500 0.500

Output
Formation enthalpy at 0 K = 0.09 eV/atom
Space group = P4/mmm, No. 123

***

Entry 12:
Li2AlVGe after structural relaxation, computed with PBE-GGA.

abc: 4.384 4.384 4.814
angles: 90.00 90.00 90.00
Fractional positions:
Li 0.000 0.500 0.000
Li 0.500 0.000 0.000
Al 0.000 0.000 0.500
V 0.500 0.500 0.500
Ge 0.000 0.000 0.000

Output
Formation enthalpy at 0 K = 0.79 eV/atom
Space group = P4/mmm, No. 123

***

> Which formula does entry 2 have?

Bi2SbAsH